# 1
First-principles (PBE) data for a geometry-optimized PaSi2Pt2 structure, as listed in Alexandria via LeMat-Bulk.

Properties
- Formation energy (no corrections): -0.96 eV per atom
- Crystal system: tetragonal
- M_tot: 0.43 Bohr magnetons per cell

a = 4.261 Å, b = 4.261 Å, c = 9.637 Å
α = 90.00°, β = 90.00°, γ = 90.00°
Space group P4/nmm (No. 129, origin choice 2)
Symmetry-distinct sites (fractional):
1 Pa 0.250 0.250 0.249
2 Si 0.250 0.250 0.632
3 Si 0.250 0.750 0.000
4 Pt 0.250 0.250 0.880
5 Pt 0.250 0.750 0.500

# 2
First-principles (PBE) data for a geometry-optimized Dy4InTe2Se structure, as listed in Alexandria via LeMat-Bulk.

Properties
- Formation energy (no corrections): -1.19 eV per atom
- Crystal system: monoclinic
- M_tot: 0.00 Bohr magnetons per cell

a = 7.476 Å, b = 4.226 Å, c = 7.551 Å
α = 90.00°, β = 108.73°, γ = 90.00°
Space group P2/m (No. 10)
Symmetry-distinct sites (fractional):
1 Dy 0.240 0.000 0.227
2 Dy 0.251 0.500 0.762
3 In 0.500 0.000 0.000
4 Te 0.000 0.000 0.500
5 Te 0.500 0.500 0.500
6 Se 0.000 0.500 0.000

# 3
First-principles (PBE) data for a geometry-optimized KCdGaIr2 structure, as listed in Alexandria via LeMat-Bulk.

Properties
- Formation enthalpy at 0 K: 2234 meV per atom
- Crystal system: tetragonal
- M_tot: 0.00 Bohr magnetons per cell

a = 4.906 Å, b = 4.906 Å, c = 5.086 Å
α = 90.00°, β = 90.00°, γ = 90.00°
Space group P4/mmm (No. 123)
Symmetry-distinct sites (fractional):
1 K 0.000 0.000 0.000
2 Cd 0.500 0.500 0.500
3 Ga 0.000 0.000 0.500
4 Ir 0.000 0.500 0.000

# 4
First-principles (PBE) data for a geometry-optimized Pr6ZnAg2 structure, as listed in Alexandria via LeMat-Bulk.

Properties
- Formation enthalpy at 0 K: -128 meV per atom
- Crystal system: orthorhombic
- M_tot: 0.00 Bohr magnetons per cell

a = 10.158 Å, b = 10.283 Å, c = 10.451 Å
α = 90.00°, β = 90.00°, γ = 90.00°
Space group Immm (No. 71)
Symmetry-distinct sites (fractional):
1 Pr 0.000 0.171 0.227
2 Pr 0.174 0.500 0.238
3 Pr 0.194 0.245 0.500
4 Zn 0.000 0.000 0.500
5 Zn 0.000 0.500 0.500
6 Ag 0.000 0.366 0.000
7 Ag 0.143 0.000 0.000

# 5
First-principles (PBE) data for a geometry-optimized YZr2CuMo structure, as listed in Alexandria via LeMat-Bulk.

Properties
- Formation enthalpy at 0 K: 1908 meV per atom
- Crystal system: tetragonal
- M_tot: 0.00 Bohr magnetons per cell

a = 5.201 Å, b = 5.201 Å, c = 4.660 Å
α = 90.00°, β = 90.00°, γ = 90.00°
Space group P4/mmm (No. 123)
Symmetry-distinct sites (fractional):
1 Y 0.000 0.000 0.000
2 Zr 0.000 0.500 0.000
3 Cu 0.500 0.500 0.500
4 Mo 0.000 0.000 0.500

# 6
First-principles (PBE) data for a geometry-optimized LaPm5Tm2 structure, as listed in Alexandria via LeMat-Bulk.

Properties
- Formation enthalpy at 0 K: 15 meV per atom
- Crystal system: orthorhombic
- M_tot: 0.00 Bohr magnetons per cell

a = 7.247 Å, b = 14.501 Å, c = 5.106 Å
α = 90.00°, β = 90.00°, γ = 90.00°
Space group Pbam (No. 55)
Symmetry-distinct sites (fractional):
1 La 0.000 0.000 0.000
2 Pm 0.000 0.500 0.000
3 Pm 0.002 0.251 0.000
4 Pm 0.248 0.626 0.500
5 Tm 0.249 0.874 0.500

Number 1: density of states at the Fermi level 0.6836 states/eV per atom. Number 2: density of states at the Fermi level 0.4101 states/eV per atom. Number 3: density of states at the Fermi level 1.3445 states/eV per atom. Number 4: density of states at the Fermi level 1.1311 states/eV per atom. Number 5: density of states at the Fermi level 1.0388 states/eV per atom. Number 6: density of states at the Fermi level 1.3879 states/eV per atom.